Here is an optimized crystal structure of Y2Ta4Au3N3 from OQMD via LeMat-Bulk. Energies are from PBE-GGA.

Cell: 5.668 5.668 14.129 Å, 101.74 101.74 59.98°
Element x y z (fractional)
N (0.500, 0.000, 0.500)
N (0.171, 0.664, 0.500)
N (0.000, 0.500, 0.000)
N (0.336, 0.829, 0.000)
N (0.664, 0.171, 0.000)
N (0.829, 0.336, 0.500)
Ta (0.200, 0.016, 0.576)
Ta (0.309, 0.150, 0.924)
Ta (0.016, 0.200, 0.076)
Ta (0.984, 0.800, 0.924)
Ta (0.150, 0.309, 0.424)
Ta (0.691, 0.850, 0.076)
Ta (0.800, 0.984, 0.424)
Ta (0.850, 0.691, 0.576)
Au (0.967, 0.033, 0.250)
Au (0.585, 0.865, 0.752)
Au (0.135, 0.415, 0.748)
Au (0.033, 0.967, 0.750)
Au (0.415, 0.135, 0.248)
Au (0.865, 0.585, 0.252)
Y (0.621, 0.460, 0.883)
Y (0.540, 0.379, 0.617)
Y (0.460, 0.621, 0.383)
Y (0.379, 0.540, 0.117)

Calculated values
Calculated volume   15.919 Å³ per atom
DFT total energy   -210.55 eV per cell

Here is an optimized crystal structure of Zr4Ta2Au3N3 from OQMD via LeMat-Bulk. Energies are from PBE-GGA.

Cell: 5.686 5.686 14.082 Å, 101.70 101.70 60.16°
Element x y z (fractional)
N (0.668, 0.164, 0.500)
N (0.332, 0.836, 0.500)
N (0.500, 0.000, 0.000)
N (0.836, 0.332, 0.000)
N (0.164, 0.668, 0.000)
N (0.000, 0.500, 0.500)
Au (0.582, 0.714, 0.249)
Au (0.286, 0.418, 0.251)
Au (0.122, 0.878, 0.750)
Au (0.878, 0.122, 0.250)
Au (0.714, 0.582, 0.749)
Au (0.418, 0.286, 0.751)
Zr (0.698, 0.871, 0.596)
Zr (0.194, 0.037, 0.096)
Zr (0.871, 0.698, 0.096)
Zr (0.037, 0.194, 0.596)
Zr (0.806, 0.963, 0.904)
Zr (0.963, 0.806, 0.404)
Zr (0.129, 0.302, 0.904)
Zr (0.302, 0.129, 0.404)
Ta (0.354, 0.525, 0.574)
Ta (0.525, 0.354, 0.074)
Ta (0.475, 0.646, 0.926)
Ta (0.646, 0.475, 0.426)

Calculated values
Calculated volume   15.999 Å³ per atom
DFT total energy   -207.58 eV per cell

Here is an optimized crystal structure of ThAuN from OQMD via LeMat-Bulk. Energies are from PBE-GGA.

Cell: 9.330 9.330 9.330 Å, 24.87 24.87 24.87°
Element x y z (fractional)
Th (0.721, 0.721, 0.721)
Th (0.279, 0.279, 0.279)
N (0.367, 0.367, 0.367)
N (0.633, 0.633, 0.633)
Au (0.864, 0.864, 0.864)
Au (0.136, 0.136, 0.136)

Calculated values
Calculated volume   21.063 Å³ per atom
DFT total energy   -45.33 eV per cell

Here is an optimized crystal structure of TlW4AuN2 from OQMD via LeMat-Bulk. Energies are from PBE-GGA.

Cell: 2.890 2.890 15.578 Å, 90.00 90.00 120.00°
Element x y z (fractional)
W (0.000, 0.000, 0.662)
W (0.667, 0.333, 0.155)
W (0.000, 0.000, 0.338)
W (0.667, 0.333, 0.845)
N (0.333, 0.667, 0.247)
N (0.333, 0.667, 0.753)
Au (0.000, 0.000, 0.000)
Tl (0.667, 0.333, 0.500)

Calculated values
Calculated volume   14.082 Å³ per atom
DFT total energy   -70.94 eV per cell

Here is an optimized crystal structure of Y4TlAuN2 from OQMD via LeMat-Bulk. Energies are from PBE-GGA.

Cell: 3.547 3.547 15.128 Å, 90.00 90.00 120.00°
Element x y z (fractional)
Y (0.667, 0.333, 0.853)
Y (0.000, 0.000, 0.674)
Y (0.667, 0.333, 0.147)
Y (0.000, 0.000, 0.326)
Tl (0.667, 0.333, 0.500)
N (0.333, 0.667, 0.756)
N (0.333, 0.667, 0.244)
Au (0.000, 0.000, 0.000)

Calculated values
Calculated volume   20.607 Å³ per atom
DFT total energy   -56.64 eV per cell

Here is an optimized crystal structure of Zr4TlAuN2 from OQMD via LeMat-Bulk. Energies are from PBE-GGA.

Cell: 3.327 3.327 14.425 Å, 90.00 90.00 120.00°
Element x y z (fractional)
Zr (0.000, 0.000, 0.672)
Zr (0.000, 0.000, 0.328)
Zr (0.667, 0.333, 0.157)
Zr (0.667, 0.333, 0.843)
N (0.333, 0.667, 0.243)
N (0.333, 0.667, 0.757)
Tl (0.667, 0.333, 0.500)
Au (0.000, 0.000, 0.000)

Calculated values
Calculated volume   17.289 Å³ per atom
DFT total energy   -64.63 eV per cell

Here is an optimized crystal structure of Tm3AuN6 from OQMD via LeMat-Bulk. Energies are from PBE-GGA.

Cell: 3.679 5.627 6.475 Å, 99.99 99.25 98.35°
Each line ends with the local moment (μB).
Element x y z (fractional)
Tm (0.500, 0.000, 0.500)  0.02
Tm (0.781, 0.498, 0.210)  0.02
Tm (0.219, 0.502, 0.790)  0.02
N (0.754, 0.739, 0.703)  0.06
N (0.956, 0.750, 0.552)  0.07
N (0.246, 0.261, 0.297)  0.06
N (0.044, 0.250, 0.448)  0.07
N (0.698, 0.273, 0.854)  0.01
N (0.302, 0.727, 0.146)  0.01
Au (0.000, 0.000, 0.000)  0.01

Calculated values
Calculated volume   12.822 Å³ per atom
DFT total energy   -72.71 eV per cell

Here is an optimized crystal structure of W2AuN from OQMD via LeMat-Bulk. Energies are from PBE-GGA.

Cell: 5.320 5.320 14.316 Å, 103.74 103.74 60.66°
Element x y z (fractional)
N (0.750, 0.347, 0.026)
N (0.347, 0.750, 0.526)
N (0.653, 0.250, 0.474)
N (0.500, 0.000, 0.000)
N (0.000, 0.500, 0.500)
N (0.250, 0.653, 0.974)
W (0.570, 0.579, 0.899)
W (0.833, 0.963, 0.924)
W (0.430, 0.421, 0.101)
W (0.963, 0.833, 0.424)
W (0.310, 0.151, 0.419)
W (0.579, 0.570, 0.399)
W (0.167, 0.037, 0.076)
W (0.849, 0.690, 0.081)
W (0.690, 0.849, 0.581)
W (0.421, 0.430, 0.601)
W (0.037, 0.167, 0.576)
W (0.151, 0.310, 0.919)
Au (0.818, 0.559, 0.744)
Au (0.441, 0.182, 0.756)
Au (0.182, 0.441, 0.256)
Au (0.895, 0.105, 0.250)
Au (0.105, 0.895, 0.750)
Au (0.559, 0.818, 0.244)

Calculated values
Calculated volume   14.150 Å³ per atom
DFT total energy   -220.37 eV per cell

Here is an optimized crystal structure of W3AuN5 from OQMD via LeMat-Bulk. Energies are from PBE-GGA.

Cell: 5.413 5.413 4.205 Å, 90.00 90.00 120.00°
Element x y z (fractional)
N (0.667, 0.333, 0.160)
N (0.667, 0.333, 0.840)
N (0.333, 0.667, 0.840)
N (0.000, 0.000, 0.500)
N (0.333, 0.667, 0.160)
W (0.500, 0.000, 0.500)
W (0.000, 0.500, 0.500)
W (0.500, 0.500, 0.500)
Au (0.000, 0.000, 0.000)

Calculated values
Calculated volume   11.857 Å³ per atom
DFT total energy   -77.17 eV per cell

Here is an optimized crystal structure of W2AuN from OQMD via LeMat-Bulk. Energies are from PBE-GGA.

Cell: 2.840 2.840 15.547 Å, 90.00 90.00 120.00°
Element x y z (fractional)
W (0.333, 0.667, 0.093)
W (0.333, 0.667, 0.407)
W (0.667, 0.333, 0.907)
W (0.667, 0.333, 0.593)
Au (0.333, 0.667, 0.750)
Au (0.667, 0.333, 0.250)
N (0.000, 0.000, 0.500)
N (0.000, 0.000, 0.000)

Calculated values
Calculated volume   13.576 Å³ per atom
DFT total energy   -73.39 eV per cell

Here is an optimized crystal structure of W3AuN2 from OQMD via LeMat-Bulk. Energies are from PBE-GGA.

Cell: 3.125 3.125 18.201 Å, 90.00 90.00 120.00°
Element x y z (fractional)
Au (0.000, 0.000, 0.750)
Au (0.000, 0.000, 0.250)
W (0.667, 0.333, 0.373)
W (0.000, 0.000, 0.500)
W (0.333, 0.667, 0.873)
W (0.667, 0.333, 0.127)
W (0.000, 0.000, 0.000)
W (0.333, 0.667, 0.627)
N (0.333, 0.667, 0.066)
N (0.667, 0.333, 0.566)
N (0.333, 0.667, 0.434)
N (0.667, 0.333, 0.934)

Calculated values
Calculated volume   12.829 Å³ per atom
DFT total energy   -113.61 eV per cell

Here is an optimized crystal structure of Y4W2Au3N3 from OQMD via LeMat-Bulk. Energies are from PBE-GGA.

Cell: 5.891 5.891 14.246 Å, 102.21 102.21 60.72°
Element x y z (fractional)
N (0.500, 0.000, 0.500)
N (0.000, 0.500, 0.000)
N (0.182, 0.661, 0.501)
N (0.339, 0.818, 0.999)
N (0.661, 0.182, 0.001)
N (0.818, 0.339, 0.499)
Y (0.879, 0.700, 0.604)
Y (0.806, 0.955, 0.396)
Y (0.121, 0.300, 0.396)
Y (0.194, 0.045, 0.604)
Y (0.955, 0.806, 0.896)
Y (0.700, 0.879, 0.104)
Y (0.045, 0.194, 0.104)
Y (0.300, 0.121, 0.896)
W (0.480, 0.652, 0.438)
W (0.348, 0.520, 0.062)
W (0.652, 0.480, 0.938)
W (0.520, 0.348, 0.562)
Au (0.690, 0.580, 0.247)
Au (0.310, 0.420, 0.753)
Au (0.420, 0.310, 0.253)
Au (0.580, 0.690, 0.747)
Au (0.151, 0.849, 0.250)
Au (0.849, 0.151, 0.750)

Calculated values
Calculated volume   17.420 Å³ per atom
DFT total energy   -191.74 eV per cell

Here is an optimized crystal structure of ZnW4AuN2 from OQMD via LeMat-Bulk. Energies are from PBE-GGA.

Cell: 2.829 2.829 15.237 Å, 90.00 90.00 120.00°
Element x y z (fractional)
W (0.667, 0.333, 0.851)
W (0.000, 0.000, 0.661)
W (0.000, 0.000, 0.339)
W (0.667, 0.333, 0.149)
Zn (0.000, 0.000, 0.000)
N (0.333, 0.667, 0.756)
N (0.333, 0.667, 0.244)
Au (0.667, 0.333, 0.500)

Calculated values
Calculated volume   13.203 Å³ per atom
DFT total energy   -71.91 eV per cell

Here is an optimized crystal structure of Zr2W4Au3N3 from OQMD via LeMat-Bulk. Energies are from PBE-GGA.

Cell: 5.555 5.555 13.513 Å, 101.51 101.51 60.46°
Element x y z (fractional)
Au (0.169, 0.420, 0.253)
Au (0.005, 0.995, 0.750)
Au (0.995, 0.005, 0.250)
Au (0.420, 0.169, 0.753)
Au (0.831, 0.580, 0.747)
Au (0.580, 0.831, 0.247)
N (0.347, 0.805, 0.500)
N (0.000, 0.500, 0.500)
N (0.195, 0.653, 0.000)
N (0.653, 0.195, 0.500)
N (0.500, 0.000, 0.000)
N (0.805, 0.347, 0.000)
Zr (0.634, 0.466, 0.390)
Zr (0.366, 0.534, 0.610)
Zr (0.466, 0.634, 0.890)
Zr (0.534, 0.366, 0.110)
W (0.183, 0.035, 0.074)
W (0.864, 0.694, 0.074)
W (0.965, 0.817, 0.426)
W (0.817, 0.965, 0.926)
W (0.035, 0.183, 0.574)
W (0.306, 0.136, 0.426)
W (0.136, 0.306, 0.926)
W (0.694, 0.864, 0.574)

Calculated values
Calculated volume   14.708 Å³ per atom
DFT total energy   -215.68 eV per cell

Here is an optimized crystal structure of Y2AuN from OQMD via LeMat-Bulk. Energies are from PBE-GGA.

Cell: 6.149 6.149 14.807 Å, 102.00 102.00 60.01°
Element x y z (fractional)
Y (0.698, 0.865, 0.595)
Y (0.532, 0.365, 0.095)
Y (0.365, 0.532, 0.595)
Y (0.302, 0.135, 0.405)
Y (0.635, 0.468, 0.405)
Y (0.198, 0.032, 0.095)
Y (0.865, 0.698, 0.095)
Y (0.468, 0.635, 0.905)
Y (0.968, 0.802, 0.405)
Y (0.802, 0.968, 0.905)
Y (0.032, 0.198, 0.595)
Y (0.135, 0.302, 0.905)
Au (0.082, 0.918, 0.750)
Au (0.249, 0.417, 0.250)
Au (0.918, 0.082, 0.250)
Au (0.417, 0.249, 0.750)
Au (0.751, 0.583, 0.750)
Au (0.583, 0.751, 0.250)
N (0.333, 0.833, 0.500)
N (0.500, 0.000, 0.000)
N (0.833, 0.333, 0.000)
N (0.667, 0.167, 0.500)
N (0.167, 0.667, 0.000)
N (0.000, 0.500, 0.500)

Calculated values
Calculated volume   19.614 Å³ per atom
DFT total energy   -173.47 eV per cell

Here is an optimized crystal structure of Y2AuN from OQMD via LeMat-Bulk. Energies are from PBE-GGA.

Cell: 3.544 3.544 14.453 Å, 90.00 90.00 120.00°
Element x y z (fractional)
Au (0.333, 0.667, 0.750)
Au (0.667, 0.333, 0.250)
Y (0.667, 0.333, 0.905)
Y (0.667, 0.333, 0.595)
Y (0.333, 0.667, 0.095)
Y (0.333, 0.667, 0.405)
N (0.000, 0.000, 0.000)
N (0.000, 0.000, 0.500)

Calculated values
Calculated volume   19.646 Å³ per atom
DFT total energy   -57.82 eV per cell

Here is an optimized crystal structure of Y4AuN3 from OQMD via LeMat-Bulk. Energies are from PBE-GGA.

Cell: 3.495 3.495 25.727 Å, 90.00 90.00 120.00°
Each line ends with the local moment (μB).
Element x y z (fractional)
Y (0.000, 0.000, 0.339)  0.17
Y (0.667, 0.333, 0.946)  0.01
Y (0.333, 0.667, 0.054)  0.01
Y (0.000, 0.000, 0.661)  0.17
Y (0.000, 0.000, 0.839)  0.17
Y (0.667, 0.333, 0.554)  0.01
Y (0.333, 0.667, 0.446)  0.01
Y (0.000, 0.000, 0.161)  0.17
N (0.000, 0.000, 0.000)  0.00
N (0.667, 0.333, 0.388)  0.01
N (0.667, 0.333, 0.112)  0.01
N (0.333, 0.667, 0.888)  0.01
N (0.000, 0.000, 0.500)  0.01
N (0.333, 0.667, 0.612)  0.01
Au (0.333, 0.667, 0.250)  0.09
Au (0.667, 0.333, 0.750)  0.09

Calculated values
Calculated volume   17.008 Å³ per atom
DFT total energy   -130.58 eV per cell

Here is an optimized crystal structure of Y4ZnAuN2 from OQMD via LeMat-Bulk. Energies are from PBE-GGA.

Cell: 3.529 3.529 14.618 Å, 90.00 90.00 120.00°
Element x y z (fractional)
Y (0.333, 0.667, 0.155)
Y (0.000, 0.000, 0.658)
Y (0.000, 0.000, 0.342)
Y (0.333, 0.667, 0.845)
N (0.667, 0.333, 0.250)
N (0.667, 0.333, 0.750)
Zn (0.333, 0.667, 0.500)
Au (0.000, 0.000, 0.000)

Calculated values
Calculated volume   19.711 Å³ per atom
DFT total energy   -54.86 eV per cell